(1)
# HPt3Cl (PBEsol, relaxed)
# VASP energy ... -0.170 Ha/atom
# Crystal system ... cubic
# M_tot ... 0.001 μB per formula unit
# Theoretical density ... 15.702 Mg/m³
# Space group ... No. 221
data_HPt3Cl
_cell_length_a 4.0361
_cell_length_b 4.0361
_cell_length_c 4.0361
_cell_angle_alpha 90.00
_cell_angle_beta 90.00
_cell_angle_gamma 90.00
_symmetry_space_group_name_H-M 'P 1'
_symmetry_Int_Tables_number 1
_symmetry_space_group_name_Hall 'P 1'
loop_
_atom_site_label
_atom_site_fract_x
_atom_site_fract_y
_atom_site_fract_z
H1 0.0000 0.0000 0.0000
Pt1 0.0000 0.0000 0.5000
Pt2 0.0000 0.5000 0.0000
Cl1 0.5000 0.5000 0.5000
Pt3 0.5000 0.0000 0.0000



(2)
# Zr2HPtCl (PBEsol, relaxed)
# VASP energy ... -0.229 Ha/atom
# Crystal system ... tetragonal
# M_tot ... 0.000 μB per formula unit
# Theoretical density ... 8.850 Mg/m³
# Space group ... No. 123
data_Zr2HPtCl
_cell_length_a 3.2042
_cell_length_b 4.9236
_cell_length_c 4.9236
_cell_angle_alpha 90.00
_cell_angle_beta 90.00
_cell_angle_gamma 90.00
_symmetry_space_group_name_H-M 'P 1'
_symmetry_Int_Tables_number 1
_symmetry_space_group_name_Hall 'P 1'
loop_
_atom_site_label
_atom_site_fract_x
_atom_site_fract_y
_atom_site_fract_z
Cl1 0.0000 0.0000 0.0000
H1 0.5000 0.0000 0.0000
Zr1 0.0000 0.5000 0.0000
Zr2 0.0000 0.0000 0.5000
Pt1 0.5000 0.5000 0.5000